A relaxed structure of AcCO4, computed with PBE.

## Properties
ΔE to the lowest computed polymorph: 0.0 meV/atom
calculated volume: 12.7 Å³ per atom
total energy: -7.58 eV per atom
DOS(E_F): 0.729 states/eV/f.u.
raw formation energy: -2.049 eV per atom
density: 6.59 g cm⁻³

```
data_AcCO4
_symmetry_space_group_name_H-M 'P 1 21/c 1'
_symmetry_Int_Tables_number 14
_cell_length_a 6.466
_cell_length_b 7.040
_cell_length_c 8.509
_cell_angle_alpha 90.00
_cell_angle_beta 127.95
_cell_angle_gamma 90.00
loop_
_symmetry_equiv_pos_as_xyz
'x,y,z'
'-x,-y,-z'
'-x,y+1/2,-z+1/2'
'x,-y+1/2,z+1/2'
loop_
_atom_site_label
_atom_site_fract_x
_atom_site_fract_y
_atom_site_fract_z
_atom_site_occupancy
Ac1 0.193 0.162 0.280 1
C1 0.268 0.677 0.177 1
O1 0.079 0.681 0.610 1
O2 0.217 0.526 0.255 1
O3 0.276 0.622 0.023 1
O4 0.484 0.235 0.160 1
```



A relaxed structure of AcCO3, computed with PBE.

## Properties
calculated volume: 16.8 Å³ per atom
total energy: -7.67 eV per atom
DOS(E_F): 0.166 states/eV/f.u.
raw formation energy: -2.033 eV per atom
density: 5.68 g cm⁻³

```
data_AcCO3
_symmetry_space_group_name_H-M 'P -1'
_symmetry_Int_Tables_number 2
_cell_length_a 4.257
_cell_length_b 4.515
_cell_length_c 8.944
_cell_angle_alpha 85.51
_cell_angle_beta 78.31
_cell_angle_gamma 88.56
loop_
_symmetry_equiv_pos_as_xyz
'x,y,z'
'-x,-y,-z'
loop_
_atom_site_label
_atom_site_fract_x
_atom_site_fract_y
_atom_site_fract_z
_atom_site_occupancy
Ac1 0.193 0.233 0.142 1
C1 0.365 0.252 0.682 1
O1 0.144 0.137 0.636 1
O2 0.243 0.753 0.011 1
O3 0.424 0.518 0.698 1
```



A relaxed structure of AcCO3, computed with PBE.

## Properties
calculated volume: 13.4 Å³ per atom
total energy: -7.77 eV per atom
DOS(E_F): 0.091 states/eV/f.u.
raw formation energy: -2.126 eV per atom
density: 7.10 g cm⁻³

```
data_AcCO3
_symmetry_space_group_name_H-M 'P 1 21/m 1'
_symmetry_Int_Tables_number 11
_cell_length_a 4.367
_cell_length_b 5.177
_cell_length_c 6.143
_cell_angle_alpha 90.00
_cell_angle_beta 104.96
_cell_angle_gamma 90.00
loop_
_symmetry_equiv_pos_as_xyz
'x,y,z'
'-x,-y,-z'
'-x,y+1/2,-z'
'x,-y+1/2,z'
loop_
_atom_site_label
_atom_site_fract_x
_atom_site_fract_y
_atom_site_fract_z
_atom_site_occupancy
Ac1 0.160 0.250 0.266 1
C1 0.435 0.250 0.795 1
O1 0.238 0.750 0.128 1
O2 0.316 0.028 0.679 1
```



A relaxed structure of AcCO6, computed with PBE.

## Properties
calculated volume: 16.3 Å³ per atom
total energy: -5.74 eV per atom
DOS(E_F): 5.194 states/eV/f.u.
raw formation energy: -0.353 eV per atom
density: 4.26 g cm⁻³

```
data_AcCO6
_symmetry_space_group_name_H-M 'F m -3 m'
_symmetry_Int_Tables_number 225
_symmetry_space_group_name_Hall '-F 4 2 3'
_cell_length_a 8.056
_cell_length_b 8.056
_cell_length_c 8.056
_cell_angle_alpha 90.00
_cell_angle_beta 90.00
_cell_angle_gamma 90.00
loop_
_atom_site_label
_atom_site_fract_x
_atom_site_fract_y
_atom_site_fract_z
_atom_site_occupancy
Ac1 0.000 0.000 0.000 1
C1 0.000 0.000 0.500 1
O1 0.000 0.000 0.310 1
```



A relaxed structure of AcPbC2O8, computed with PBE.

## Properties
calculated volume: 10.9 Å³ per atom
total energy: -6.96 eV per atom
DOS(E_F): 4.996 states/eV/f.u.
raw formation energy: -1.468 eV per atom
density: 7.41 g cm⁻³

```
data_AcPbC2O8
_symmetry_space_group_name_H-M 'R -3 m'
_symmetry_Int_Tables_number 166
_symmetry_space_group_name_Hall '-R 3 2"'
_cell_length_a 5.1150
_cell_length_b 5.1150
_cell_length_c 17.3978
_cell_angle_alpha 90.00
_cell_angle_beta 90.00
_cell_angle_gamma 120.00
loop_
_atom_site_label
_atom_site_fract_x
_atom_site_fract_y
_atom_site_fract_z
_atom_site_occupancy
Ac1 0.0000 0.0000 0.0000 1
Pb1 0.0000 0.0000 0.5000 1
C1 0.0000 0.0000 0.2258 1
O1 0.0000 0.0000 0.1493 1
O2 0.0355 0.5178 0.9232 1
```



A relaxed structure of AcPbCO5, computed with PBE.

## Properties
calculated volume: 15.7 Å³ per atom
total energy: -6.80 eV per atom
DOS(E_F): 3.480 states/eV/f.u.
raw formation energy: -1.576 eV per atom
density: 6.97 g cm⁻³

```
data_AcPbCO5
_symmetry_space_group_name_H-M 'C 1 2/c 1'
_symmetry_Int_Tables_number 15
_cell_length_a 6.844
_cell_length_b 9.010
_cell_length_c 8.450
_cell_angle_alpha 90.00
_cell_angle_beta 105.66
_cell_angle_gamma 90.00
loop_
_symmetry_equiv_pos_as_xyz
'x,y,z'
'-x,-y,-z'
'-x,y,-z+1/2'
'x,-y,z+1/2'
'x+1/2,y+1/2,z'
'-x+1/2,-y+1/2,-z'
'-x+1/2,y+1/2,-z+1/2'
'x+1/2,-y+1/2,z+1/2'
loop_
_atom_site_label
_atom_site_fract_x
_atom_site_fract_y
_atom_site_fract_z
_atom_site_occupancy
Ac1 0.000 0.000 0.000 1
Pb1 0.000 0.362 0.250 1
C1 0.000 0.310 0.750 1
O1 0.000 0.121 0.250 1
O2 0.120 0.403 0.878 1
O3 0.121 0.218 0.680 1
```



A relaxed structure of AcPdC2O6, computed with PBE.

## Properties
calculated volume: 14.1 Å³ per atom
total energy: -7.38 eV per atom
DOS(E_F): 5.438 states/eV/f.u.
raw formation energy: -1.626 eV per atom
density: 5.35 g cm⁻³

```
data_AcPdC2O6
_symmetry_space_group_name_H-M 'R -3'
_symmetry_Int_Tables_number 148
_symmetry_space_group_name_Hall '-R 3'
_cell_length_a 5.2347
_cell_length_b 5.2347
_cell_length_c 17.8007
_cell_angle_alpha 90.00
_cell_angle_beta 90.00
_cell_angle_gamma 120.00
loop_
_atom_site_label
_atom_site_fract_x
_atom_site_fract_y
_atom_site_fract_z
_atom_site_occupancy
Ac1 0.0000 0.0000 0.0000 1
Pd1 0.0000 0.0000 0.5000 1
C1 0.0000 0.0000 0.2509 1
O1 0.0266 0.2608 0.2521 1
```



A relaxed structure of AcPrC2O8, computed with PBE.

## Properties
calculated volume: 11.7 Å³ per atom
total energy: -7.57 eV per atom
DOS(E_F): 5.858 states/eV/f.u.
raw formation energy: -1.984 eV per atom
density: 6.16 g cm⁻³

```
data_AcPrC2O8
_symmetry_space_group_name_H-M 'R -3 m'
_symmetry_Int_Tables_number 166
_symmetry_space_group_name_Hall '-R 3 2"'
_cell_length_a 4.9253
_cell_length_b 4.9253
_cell_length_c 20.0208
_cell_angle_alpha 90.00
_cell_angle_beta 90.00
_cell_angle_gamma 120.00
loop_
_atom_site_label
_atom_site_fract_x
_atom_site_fract_y
_atom_site_fract_z
_atom_site_occupancy
Ac1 0.0000 0.0000 0.0000 1
Pr1 0.0000 0.0000 0.5000 1
C1 0.0000 0.0000 0.2418 1
O1 0.0000 0.0000 0.1716 1
O2 0.0281 0.5140 0.9313 1
```